(1)
Computed, not measured: an optimized crystal structure of TaSiIr2 at the GGA-PBE level of DFT.

Lattice parameters (Å, degrees): 4.4078 4.4078 4.4078 60.00 60.00 60.00
With the nearest neighbours (Å) after each atom.
Sites, in units of the cell vectors:
Ta: 0.0000 0.0000 0.0000  4 Ir 2.70, 4 Si 2.70
Si: 0.7500 0.7500 0.7500  4 Ir 2.70, 4 Ta 2.70
Ir: 0.2500 0.2500 0.2500  4 Ta 2.70, 4 Ir 2.70
Ir: 0.5000 0.5000 0.5000  4 Ir 2.70, 4 Si 2.70

Properties
ΔE_f (raw) = -0.130 eV/atom
Symmetry = F-43m

(2)
Computed, not measured: an optimized crystal structure of YHoCoRh at the GGA-PBE level of DFT.

Lattice parameters (Å, degrees): 4.7900 4.7900 4.7900 60.00 60.00 60.00
With the nearest neighbours (Å) after each atom.
Sites, in units of the cell vectors:
Y: 0.0000 0.0000 0.0000  4 Co 2.93, 4 Rh 2.93
Ho: 0.5000 0.5000 0.5000  4 Co 2.93, 4 Rh 2.93
Co: 0.2500 0.2500 0.2500  4 Ho 2.93, 4 Y 2.93
Rh: 0.7500 0.7500 0.7500  4 Ho 2.93, 4 Y 2.93

Properties
Calculated formation energy = -494 meV per atom
Symmetry = F-43m

(3)
Computed, not measured: an optimized crystal structure of NpAgSn2 at the GGA-PBE level of DFT.

Lattice parameters (Å, degrees): 3.4112 3.4112 8.1529 90.00 90.00 90.00
With the nearest neighbours (Å) after each atom.
Sites, in units of the cell vectors:
Np: 0.0000 0.0000 0.0000  8 Sn 3.28, 4 Np 3.41
Ag: 0.0000 0.0000 0.5000  8 Sn 3.04
Sn: 0.5000 0.5000 0.2731  4 Ag 3.04, 4 Np 3.28
Sn: 0.5000 0.5000 0.7269  4 Ag 3.04, 4 Np 3.28

Properties
Calculated formation energy = 106 meV per atom
Symmetry = P4/mmm

(4)
Computed, not measured: an optimized crystal structure of YAlIr3 at the GGA-PBE level of DFT.

Lattice parameters (Å, degrees): 4.5280 4.5280 4.5280 90.00 90.00 90.00
With the nearest neighbours (Å) after each atom.
Sites, in units of the cell vectors:
Y: 0.0000 0.0000 0.0000  12 Ir 3.20
Al: 0.5000 0.5000 0.5000  6 Ir 2.26
Ir: 0.0000 0.5000 0.5000  2 Al 2.26
Ir: 0.5000 0.0000 0.5000  2 Al 2.26
Ir: 0.5000 0.5000 0.0000  2 Al 2.26

Properties
Calculated formation energy = -19 meV per atom
Symmetry = Pm-3m

(5)
Computed, not measured: an optimized crystal structure of PrTmLu2 at the GGA-PBE level of DFT.

Lattice parameters (Å, degrees): 5.0057 5.0057 4.9719 90.00 90.00 90.00
With the nearest neighbours (Å) after each atom.
Sites, in units of the cell vectors:
Pr: 0.0000 0.0000 0.0000  8 Lu 3.53, 4 Tm 3.54
Tm: 0.5000 0.5000 0.0000  8 Lu 3.53, 4 Pr 3.54
Lu: 0.0000 0.5000 0.5000  4 Tm 3.53, 4 Pr 3.53, 4 Lu 3.54
Lu: 0.5000 0.0000 0.5000  4 Tm 3.53, 4 Pr 3.53, 4 Lu 3.54

Properties
Calculated formation energy = 36 meV per atom
Symmetry = P4/mmm

(6)
Computed, not measured: an optimized crystal structure of TbPaRhN3 at the GGA-PBE level of DFT.

Lattice parameters (Å, degrees): 6.6325 3.4146 8.1485 90.00 103.28 90.00
With the nearest neighbours (Å) after each atom.
Sites, in units of the cell vectors:
Tb: 0.0737 0.2500 0.3227  6 N 2.35-2.55
Tb: 0.9263 0.7500 0.6773  6 N 2.35-2.55
Pa: 0.4186 0.7500 0.6752  6 N 2.29-2.47
Pa: 0.5814 0.2500 0.3248  6 N 2.29-2.47
Rh: 0.1722 0.2500 0.9866  2 N 1.91
Rh: 0.8278 0.7500 0.0134  2 N 1.91
N: 0.1828 0.2500 0.6178  2 Pa 2.29, 3 Tb 2.35-2.53
N: 0.2505 0.7500 0.9166  2 Rh 1.91
N: 0.3632 0.7500 0.3795  3 Pa 2.35, 2 Tb 2.53
N: 0.6368 0.2500 0.6205  3 Pa 2.35, 2 Tb 2.53
N: 0.7495 0.2500 0.0834  2 Rh 1.91
N: 0.8172 0.7500 0.3822  2 Pa 2.29, 3 Tb 2.35-2.53

Properties
ΔE_f (raw) = -0.999 eV/atom
Symmetry = P2_1/m

For reference, calculated volume by record: 60.6, 77.7, 94.9, 92.8, 124.6, 179.6 Å³ per cell.